# 1
Below is La3Sc2 after structural relaxation, with properties calculated at the PBE level.

Calculated values
The crystal system is trigonal. The formation energy comes out at 0.07 eV/atom. The calculated volume comes out at 156.40 Å³/cell. The calculation puts the spin magnetization at 0.00 μB/f.u.

Structure (CIF):
```
data_La3Sc2
_symmetry_space_group_name_H-M 'P 1'
_symmetry_Int_Tables_number 1
_symmetry_space_group_name_Hall 'P 1'
_cell_length_a 14.4213
_cell_length_b 14.4213
_cell_length_c 14.4213
_cell_angle_alpha 14.17
_cell_angle_beta 14.17
_cell_angle_gamma 14.17
loop_
_atom_site_label
_atom_site_fract_x
_atom_site_fract_y
_atom_site_fract_z
_atom_site_occupancy
La1 0.0000 0.0000 0.0000 1
La2 0.2039 0.2039 0.2039 1
La3 0.7961 0.7961 0.7961 1
Sc1 0.3980 0.3980 0.3980 1
Sc2 0.6020 0.6020 0.6020 1
```

---

# 2
Below is MgSc7Al4 after structural relaxation, with properties calculated at the PBE level.

Calculated values
The crystal system is monoclinic. The formation energy comes out at -0.08 eV/atom. The calculated volume comes out at 261.62 Å³/cell. The calculation puts the spin magnetization at 0.00 μB/f.u.

Structure (CIF):
```
data_MgSc7Al4
_symmetry_space_group_name_H-M 'P 1'
_symmetry_Int_Tables_number 1
_symmetry_space_group_name_Hall 'P 1'
_cell_length_a 7.1314
_cell_length_b 7.1314
_cell_length_c 8.7496
_cell_angle_alpha 117.83
_cell_angle_beta 117.83
_cell_angle_gamma 42.81
loop_
_atom_site_label
_atom_site_fract_x
_atom_site_fract_y
_atom_site_fract_z
_atom_site_occupancy
Mg1 0.0000 0.0000 0.0000 1
Sc1 0.0823 0.0823 0.4333 1
Sc2 0.1984 0.1984 0.8725 1
Sc3 0.2483 0.2483 0.2865 1
Sc4 0.5000 0.5000 0.0000 1
Sc5 0.7517 0.7517 0.7135 1
Sc6 0.8016 0.8016 0.1275 1
Sc7 0.9177 0.9177 0.5667 1
Al1 0.3269 0.3269 0.6579 1
Al2 0.4619 0.4619 0.3149 1
Al3 0.5381 0.5381 0.6851 1
Al4 0.6731 0.6731 0.3421 1
```

---

# 3
Below is Rb2NaZrBr6 after structural relaxation, with properties calculated at the PBE level.

Calculated values
For the uncorrected formation energy, the calculation gives -1.52 eV/atom. The crystal system is trigonal. The calculated volume comes out at 726.70 Å³/cell. Its relative energy among the computed polymorphs is 0.00 eV/f.u. The calculation puts the spin magnetization at 1.00 μB/f.u.

Structure (CIF):
```
data_Rb2NaZrBr6
_symmetry_space_group_name_H-M 'P 1'
_symmetry_Int_Tables_number 1
_symmetry_space_group_name_Hall 'P 1'
_cell_length_a 14.4012
_cell_length_b 14.4012
_cell_length_c 14.4012
_cell_angle_alpha 31.57
_cell_angle_beta 31.57
_cell_angle_gamma 31.57
loop_
_atom_site_label
_atom_site_fract_x
_atom_site_fract_y
_atom_site_fract_z
_atom_site_occupancy
Rb1 0.1324 0.1324 0.1324 1
Rb2 0.3011 0.3011 0.3011 1
Rb3 0.6989 0.6989 0.6989 1
Rb4 0.8676 0.8676 0.8676 1
Na1 0.4150 0.4150 0.4150 1
Na2 0.5850 0.5850 0.5850 1
Zr1 0.0000 0.0000 0.0000 1
Zr2 0.5000 0.5000 0.5000 1
Br1 0.1320 0.6271 0.6271 1
Br2 0.2011 0.2011 0.7131 1
Br3 0.2011 0.7131 0.2011 1
Br4 0.2869 0.7989 0.7989 1
Br5 0.3729 0.3729 0.8680 1
Br6 0.3729 0.8680 0.3729 1
Br7 0.6271 0.1320 0.6271 1
Br8 0.6271 0.6271 0.1320 1
Br9 0.7131 0.2011 0.2011 1
Br10 0.7989 0.2869 0.7989 1
Br11 0.7989 0.7989 0.2869 1
Br12 0.8680 0.3729 0.3729 1
```

---

# 4
Below is NaCaGe2 after structural relaxation, with properties calculated at the PBE level.

Calculated values
The crystal system is orthorhombic. The formation energy comes out at -0.40 eV/atom. The calculated volume comes out at 403.60 Å³/cell. Its relative energy among the computed polymorphs is 0.00 eV/f.u. The calculation puts the spin magnetization at 0.00 μB/f.u.

Structure (CIF):
```
data_NaCaGe2
_symmetry_space_group_name_H-M 'P 1'
_symmetry_Int_Tables_number 1
_symmetry_space_group_name_Hall 'P 1'
_cell_length_a 6.6573
_cell_length_b 4.5252
_cell_length_c 13.3974
_cell_angle_alpha 90.00
_cell_angle_beta 90.00
_cell_angle_gamma 90.00
loop_
_atom_site_label
_atom_site_fract_x
_atom_site_fract_y
_atom_site_fract_z
_atom_site_occupancy
Na1 0.2499 0.2500 0.0246 1
Na2 0.2501 0.7500 0.5246 1
Na3 0.7499 0.2500 0.4754 1
Na4 0.7501 0.7500 0.9754 1
Ca1 0.2492 0.2500 0.3019 1
Ca2 0.2508 0.7500 0.8019 1
Ca3 0.7492 0.2500 0.1981 1
Ca4 0.7508 0.7500 0.6981 1
Ge1 0.0597 0.7500 0.1586 1
Ge2 0.0612 0.2500 0.6586 1
Ge3 0.4388 0.7500 0.1586 1
Ge4 0.4403 0.2500 0.6586 1
Ge5 0.5597 0.7500 0.3414 1
Ge6 0.5612 0.2500 0.8414 1
Ge7 0.9388 0.7500 0.3414 1
Ge8 0.9403 0.2500 0.8414 1
```